Entry 1:
Entry from Alexandria via LeMat-Bulk: an optimized crystal structure of ZnRuCl2 (PBEsol).

Formation energy from raw total energies (eV/atom): -0.14
Space-group type: Immm, No. 71
V (Å³ per cell): 80.03
Mass density (g/cm³): 4.9
E above lowest polymorph (meV per atom): 0

```
ZnRuCl2
1.0
-0.894 2.385 1.523
-4.070 -0.977 -0.860
2.202 -4.171 4.934
Zn Ru Cl
1 1 2
direct
0.000 0.500 0.000 Zn
0.500 0.000 0.000 Ru
0.148 0.148 0.295 Cl
0.852 0.852 0.705 Cl
```

Entry 2:
Entry from Alexandria via LeMat-Bulk: an optimized crystal structure of Si2AgOs (PBEsol).

Formation energy from raw total energies (eV/atom): 0.24
Space-group type: P4/mmm, No. 123
V (Å³ per cell): 55.72
Mass density (g/cm³): 10.6
E above lowest polymorph (meV per atom): 222

```
Si2AgOs
1.0
2.941 0.000 0.000
0.000 4.353 0.000
0.000 0.000 4.353
Os Si Ag
1 2 1
direct
0.500 0.000 0.000 Os
0.000 0.000 0.500 Si
0.000 0.500 0.000 Si
0.500 0.500 0.500 Ag
```

Entry 3:
Entry from Alexandria via LeMat-Bulk: an optimized crystal structure of CsY3Tl (PBEsol).

Space-group type: Pm-3m, No. 221
V (Å³ per cell): 169.49
Mass density (g/cm³): 5.9
Total energy (eV for the cell shown): -18.49

```
CsY3Tl
1.0
-2.772 0.231 -4.784
-1.840 -5.155 0.817
-4.422 2.000 2.659
Y Tl Cs
3 1 1
direct
0.000 0.000 0.500 Y
0.500 0.000 0.000 Y
0.000 0.500 0.000 Y
0.500 0.500 0.500 Tl
0.000 0.000 0.000 Cs
```

Entry 4:
Entry from Alexandria via LeMat-Bulk: an optimized crystal structure of CaCu2Sb (PBEsol).

Formation energy from raw total energies (eV/atom): -0.28
Space-group type: R3m, No. 160
V (Å³ per cell): 81.53
Mass density (g/cm³): 5.9

```
CaCu2Sb
1.0
-2.993 1.499 -2.554
-1.923 -2.570 -2.725
-5.323 -1.479 1.899
Cu Sb Ca
2 1 1
direct
0.946 0.946 0.162 Cu
0.278 0.278 0.167 Cu
0.541 0.541 0.378 Sb
0.742 0.742 0.776 Ca
```

Entry 5:
Entry from Alexandria via LeMat-Bulk: an optimized crystal structure of BaLi2Hg2 (PBEsol).

Space-group type: I4/mmm, No. 139
V (Å³ per cell): 129.22
Mass density (g/cm³): 7.1
Total energy (eV for the cell shown): -9.21

```
BaLi2Hg2
1.0
-3.741 -2.204 -0.278
1.158 -1.469 -3.928
4.267 -3.579 5.006
Li Hg Ba
2 2 1
direct
0.250 0.750 0.500 Li
0.750 0.250 0.500 Li
0.378 0.378 0.757 Hg
0.622 0.622 0.243 Hg
0.000 0.000 0.000 Ba
```

Entry 6:
Entry from Alexandria via LeMat-Bulk: an optimized crystal structure of BaYRu2 (PBEsol).

Space-group type: R3m, No. 160
V (Å³ per cell): 115.04
Mass density (g/cm³): 6.2
Total energy (eV for the cell shown): -28.63

```
BaYRu2
1.0
-1.918 -3.659 -0.441
0.893 -2.436 -3.246
5.217 -5.439 2.857
Ru Ba Y
2 1 1
direct
0.707 0.707 0.878 Ru
0.057 0.057 0.830 Ru
0.279 0.279 0.164 Ba
0.457 0.457 0.628 Y
```

Entry 7:
Entry from Alexandria via LeMat-Bulk: an optimized crystal structure of Ta2FeSb (PBEsol).

Formation energy from raw total energies (eV/atom): 0.16
Space-group type: Cmmm, No. 65
V (Å³ per cell): 67.09
Mass density (g/cm³): 13.4

```
Ta2FeSb
1.0
-0.925 2.667 -1.560
-4.376 -0.698 1.403
1.974 2.614 3.298
Fe Ta Sb
1 2 1
direct
0.500 0.500 0.500 Fe
0.000 0.000 0.500 Ta
0.000 0.500 0.000 Ta
0.500 0.000 0.000 Sb
```

Entry 8:
Entry from Alexandria via LeMat-Bulk: an optimized crystal structure of LiMn2CrBr (PBEsol).

Formation energy from raw total energies (eV/atom): 0.89
Space-group type: P4/mmm, No. 123
V (Å³ per cell): 101.78
Mass density (g/cm³): 4.1

```
LiMn2CrBr
1.0
4.269 0.000 0.000
0.000 4.269 0.000
0.000 0.000 5.585
Cr Mn Br Li
1 2 1 1
direct
0.000 0.000 0.000 Cr
0.000 0.500 0.000 Mn
0.500 0.000 0.000 Mn
0.500 0.500 0.500 Br
0.000 0.000 0.500 Li
```

Entry 9:
Entry from Alexandria via LeMat-Bulk: an optimized crystal structure of Y2Ga2Sn (PBEsol).

Space-group type: P4/mbm, No. 127
V (Å³ per cell): 220.98
Mass density (g/cm³): 6.6
Total energy (eV for the cell shown): -56.63

```
Y2Ga2Sn
1.0
-4.176 -0.989 -0.457
-0.055 -2.810 6.580
-1.806 6.373 2.706
Ga Y Sn
4 4 2
direct
0.000 0.877 0.623 Ga
0.000 0.123 0.377 Ga
0.000 0.377 0.877 Ga
0.000 0.623 0.123 Ga
0.500 0.174 0.674 Y
0.500 0.674 0.826 Y
0.500 0.826 0.326 Y
0.500 0.326 0.174 Y
0.000 0.500 0.500 Sn
0.000 0.000 0.000 Sn
```

Entry 10:
Entry from Alexandria via LeMat-Bulk: an optimized crystal structure of CrBi2Pt (PBEsol).

Space-group type: I-42d, No. 122
V (Å³ per cell): 189.13
Mass density (g/cm³): 11.7
Total energy (eV for the cell shown): -48.18

```
CrBi2Pt
1.0
-3.084 0.034 -3.445
2.630 -2.964 -2.383
-4.031 -5.325 6.659
Bi Pt Cr
4 2 2
direct
0.373 0.875 0.250 Bi
0.125 0.123 0.750 Bi
0.877 0.375 0.250 Bi
0.625 0.627 0.750 Bi
0.250 0.750 0.500 Pt
0.000 0.000 0.000 Pt
0.500 0.500 0.000 Cr
0.750 0.250 0.500 Cr
```

Entry 11:
Entry from Alexandria via LeMat-Bulk: an optimized crystal structure of Cu2NiIr (PBEsol).

Space-group type: C2/m, No. 12
V (Å³ per cell): 47.46
Mass density (g/cm³): 13.2
E above lowest polymorph (meV per atom): 0

```
Cu2NiIr
1.0
-1.785 -0.246 -1.826
-2.682 -1.962 2.886
-0.198 4.235 1.425
Cu Ir Ni
2 1 1
direct
0.747 0.744 0.495 Cu
0.253 0.256 0.505 Cu
0.500 0.000 0.000 Ir
0.000 0.500 0.000 Ni
```

Entry 12:
Entry from Alexandria via LeMat-Bulk: an optimized crystal structure of CdCoSbTe2 (PBEsol).

Formation energy from raw total energies (eV/atom): 1.02
Space-group type: P4/mmm, No. 123
V (Å³ per cell): 141.59
Mass density (g/cm³): 6.4

```
CdCoSbTe2
1.0
4.718 0.000 0.000
0.000 5.478 0.000
0.000 0.000 5.478
Co Te Cd Sb
1 2 1 1
direct
0.500 0.000 0.000 Co
0.000 0.000 0.500 Te
0.000 0.500 0.000 Te
0.000 0.000 0.000 Cd
0.500 0.500 0.500 Sb
```